ErTh2Rh: optimized geometry, GGA-PBE.

Values from the calculation:
The magnetization is 0.00 μB/atom. Its energy above the most stable polymorph in this dataset is 0.161 eV/atom. Its calculated volume is 27.26 Å³/atom. Its calculated total energy is -27.98 eV/f.u. The formation energy comes out at -1.226 eV/f.u. As for the density of states at the Fermi level: 6.0 states/eV per cell.

Cell lengths 3.6774, 3.6774, 8.0618 Å; angles 90.00, 90.00, 90.00 degrees
Sites, in units of the cell vectors:
Rh: 0.5000 0.5000 0.0000
Th: 0.0000 0.0000 0.7966
Th: 0.0000 0.0000 0.2034
Er: 0.5000 0.5000 0.5000